(1)
First-principles (GGA-PBE) data for crystalline Be2WSe at its relaxed geometry, as listed in the Alexandria database.

Calculated values
M_tot (μB per cell): 0.0
Formation energy (no corrections) (kJ/mol of formula units): 228
SG: I4/mmm (139)

The structure in POSCAR format:
```
Be2WSe
1.0
-1.787 1.787 4.031
1.787 -1.787 4.031
1.787 1.787 -4.031
Be W Se
2 1 1
Direct
0.250 0.750 0.500
0.750 0.250 0.500
0.000 0.000 0.000
0.500 0.500 0.000
```

(2)
First-principles (GGA-PBE) data for crystalline Si2AsBr at its relaxed geometry, as listed in the Alexandria database.

Calculated values
M_tot (μB per cell): 0.0
Formation energy (no corrections) (kJ/mol of formula units): 88
SG: Cm (8)
Excess energy over the best structure of this formula in the dataset (eV per formula unit): 0.681

The structure in POSCAR format:
```
Si2AsBr
1.0
5.118 -1.754 0.000
5.118 1.754 0.000
-0.548 0.000 6.009
Si As Br
2 1 1
Direct
0.000 0.000 0.000
0.669 0.669 0.933
0.345 0.345 0.071
0.647 0.647 0.550
```

(3)
First-principles (GGA-PBE) data for crystalline Ca2ZnGa3Ag4 at its relaxed geometry, as listed in the Alexandria database.

Calculated values
M_tot (μB per cell): 0.0
SG: P-4m2 (115)
Energy relative to the elements (eV per atom): -0.262

The structure in POSCAR format:
```
Ca2ZnGa3Ag4
1.0
4.194 0.000 0.000
0.000 4.194 0.000
0.000 0.000 11.907
Ca Zn Ga Ag
2 1 3 4
Direct
0.000 0.500 0.247
0.500 0.000 0.753
0.000 0.000 0.500
0.000 0.500 0.859
0.500 0.000 0.141
0.500 0.500 0.500
0.000 0.000 0.000
0.000 0.500 0.642
0.500 0.000 0.358
0.500 0.500 0.000
```

Question: Which formula does entry 2 have?
Answer: Si2AsBr